The following is a DFT calculation (PBE-GGA) of an optimized crystal structure of Mn3NbSi.

a = 4.2085 Å, b = 4.2085 Å, c = 4.2085 Å
α = 90.00°, β = 90.00°, γ = 90.00°
Closest atoms and distances in Å follow each position.
Atoms (fractional coordinates):
Mn (0.0000, 0.0000, 0.5000)  2 Si 2.10
Nb (0.5000, 0.5000, 0.5000)  12 Mn 2.98
Mn (0.0000, 0.5000, 0.0000)  2 Si 2.10
Si (0.0000, 0.0000, 0.0000)  6 Mn 2.10
Mn (0.5000, 0.0000, 0.0000)  2 Si 2.10

Results
**Excess energy over the best structure of this formula in the dataset**: 0.000 eV per atom
**D(E_F)**: 0.739 states/eV per atom
**DFT total energy**: -8.01 eV per atom
**E_form (uncorrected)**: 0.5855 eV/atom

***

The following is a DFT calculation (PBE-GGA) of an optimized crystal structure of Mn2NbSi.

a = 6.8011 Å, b = 6.8011 Å, c = 5.4597 Å
α = 51.48°, β = 51.48°, γ = 90.00°
Closest atoms and distances in Å follow each position.
Atoms (fractional coordinates):
Nb (0.0000, 0.0000, 0.0000)  2 Si 2.58, 4 Mn 2.64
Mn (0.5932, 0.1250, 0.2500)  2 Si 2.35, 2 Mn 2.62
Mn (0.3750, 0.4068, 0.7500)  2 Si 2.35, 2 Mn 2.62
Si (0.2500, 0.7500, 0.5000)  4 Mn 2.35, 2 Nb 2.58
Si (0.5000, 0.5000, 0.0000)  4 Mn 2.35, 2 Nb 2.58
Nb (0.7500, 0.2500, 0.5000)  2 Si 2.58, 4 Mn 2.64
Mn (0.8750, 0.8432, 0.7500)  2 Si 2.35, 2 Mn 2.62
Mn (0.1568, 0.6250, 0.2500)  2 Si 2.35, 2 Mn 2.62

Results
**D(E_F)**: 1.132 states/eV per atom
**DFT total energy**: -8.15 eV per atom
**E_form (uncorrected)**: 0.3081 eV/atom

***

The following is a DFT calculation (PBE-GGA) of an optimized crystal structure of MnNbSi2.

a = 3.7526 Å, b = 3.7526 Å, c = 9.2025 Å
α = 78.24°, β = 78.24°, γ = 90.00°
Closest atoms and distances in Å follow each position.
Atoms (fractional coordinates):
Nb (0.7500, 0.2500, 0.5000)  4 Si 2.62, 4 Mn 2.65
Nb (0.0000, 0.0000, 0.0000)  4 Si 2.62, 4 Mn 2.65
Si (0.3750, 0.4116, 0.7500)  2 Si 2.47, 2 Mn 2.52, 2 Nb 2.62
Si (0.8750, 0.8384, 0.7500)  2 Si 2.47, 2 Mn 2.52, 2 Nb 2.62
Mn (0.2500, 0.7500, 0.5000)  4 Si 2.52, 4 Nb 2.65
Si (0.1616, 0.6250, 0.2500)  2 Si 2.47, 2 Mn 2.52, 2 Nb 2.62
Si (0.5884, 0.1250, 0.2500)  2 Si 2.47, 2 Mn 2.52, 2 Nb 2.62
Mn (0.5000, 0.5000, 0.0000)  4 Si 2.52, 4 Nb 2.65

Results
**D(E_F)**: 0.638 states/eV per atom
**DFT total energy**: -7.39 eV per atom
**E_form (uncorrected)**: 0.1359 eV/atom

***

The following is a DFT calculation (PBE-GGA) of an optimized crystal structure of Mn3NbSi.

a = 4.6521 Å, b = 4.6521 Å, c = 4.6521 Å
α = 90.00°, β = 90.00°, γ = 90.00°
Closest atoms and distances in Å follow each position.
Atoms (fractional coordinates):
Si (0.5000, 0.5000, 0.5000)  12 Mn 3.29
Mn (0.0000, 0.5000, 0.0000)  2 Nb 2.33
Nb (0.0000, 0.0000, 0.0000)  6 Mn 2.33
Mn (0.0000, 0.0000, 0.5000)  2 Nb 2.33
Mn (0.5000, 0.0000, 0.0000)  2 Nb 2.33

Results
**Excess energy over the best structure of this formula in the dataset**: 0.890 eV per atom
**D(E_F)**: 1.354 states/eV per atom
**DFT total energy**: -7.12 eV per atom
**E_form (uncorrected)**: 1.4755 eV/atom

***

The following is a DFT calculation (PBE-GGA) of an optimized crystal structure of SmMnNbSi2.

a = 3.9903 Å, b = 3.9903 Å, c = 6.3124 Å
α = 108.43°, β = 108.43°, γ = 90.00°
Closest atoms and distances in Å follow each position.
Atoms (fractional coordinates):
Nb (0.2500, 0.7500, 0.5000)  4 Si 2.56, 4 Mn 2.82
Si (0.6087, 0.6087, 0.2173)  1 Si 2.45, 2 Nb 2.56, 2 Mn 2.56
Sm (0.0000, 0.0000, 0.0000)  8 Si 3.08
Mn (0.7500, 0.2500, 0.5000)  4 Si 2.56, 4 Nb 2.82
Si (0.3913, 0.3913, 0.7827)  1 Si 2.45, 2 Mn 2.56, 2 Nb 2.56

Results
**D(E_F)**: 0.771 states/eV per atom
**DFT total energy**: -7.51 eV per atom
**E_form (uncorrected)**: -0.5539 eV/atom

***

The following is a DFT calculation (PBE-GGA) of an optimized crystal structure of TiMnNb2Si.

a = 4.5735 Å, b = 4.3795 Å, c = 4.5735 Å
α = 90.00°, β = 90.00°, γ = 90.00°
Closest atoms and distances in Å follow each position.
Atoms (fractional coordinates):
Mn (0.0000, 0.0000, 0.0000)  2 Ti 2.19, 4 Nb 2.29
Nb (0.0000, 0.0000, 0.5000)  2 Mn 2.29
Nb (0.5000, 0.0000, 0.0000)  2 Mn 2.29
Ti (0.0000, 0.5000, 0.0000)  2 Mn 2.19
Si (0.5000, 0.5000, 0.5000)  8 Nb 3.17, 4 Ti 3.23

Results
**D(E_F)**: 0.643 states/eV per atom
**DFT total energy**: -7.99 eV per atom
**E_form (uncorrected)**: 0.5366 eV/atom

***

The following is a DFT calculation (PBE-GGA) of an optimized crystal structure of MnNbTl2Si.

a = 5.1274 Å, b = 4.3978 Å, c = 5.1274 Å
α = 90.00°, β = 90.00°, γ = 90.00°
Closest atoms and distances in Å follow each position.
Atoms (fractional coordinates):
Tl (0.5000, 0.0000, 0.0000)  2 Mn 2.56
Si (0.5000, 0.5000, 0.5000)  8 Tl 3.38, 4 Nb 3.63
Tl (0.0000, 0.0000, 0.5000)  2 Mn 2.56
Mn (0.0000, 0.0000, 0.0000)  2 Nb 2.20
Nb (0.0000, 0.5000, 0.0000)  2 Mn 2.20

Results
**D(E_F)**: 1.105 states/eV per atom
**DFT total energy**: -4.88 eV per atom
**E_form (uncorrected)**: 0.9947 eV/atom

***

The following is a DFT calculation (PBE-GGA) of an optimized crystal structure of TmMnNbSi2.

a = 3.9163 Å, b = 3.9163 Å, c = 6.2418 Å
α = 108.28°, β = 108.28°, γ = 90.00°
Closest atoms and distances in Å follow each position.
Atoms (fractional coordinates):
Nb (0.2500, 0.7500, 0.5000)  4 Si 2.53, 4 Mn 2.77
Si (0.3939, 0.3939, 0.7877)  1 Si 2.37, 2 Nb 2.53, 2 Mn 2.53
Tm (0.0000, 0.0000, 0.0000)  8 Si 3.01
Si (0.6061, 0.6061, 0.2123)  1 Si 2.37, 2 Nb 2.53, 2 Mn 2.53
Mn (0.7500, 0.2500, 0.5000)  4 Si 2.53, 4 Nb 2.77

Results
**D(E_F)**: 0.677 states/eV per atom
**DFT total energy**: -7.47 eV per atom
**E_form (uncorrected)**: -0.5610 eV/atom

***

The following is a DFT calculation (PBE-GGA) of an optimized crystal structure of MnNbV2Si.

a = 4.2269 Å, b = 4.6409 Å, c = 4.2269 Å
α = 90.00°, β = 90.00°, γ = 90.00°
Closest atoms and distances in Å follow each position.
Atoms (fractional coordinates):
V (0.5000, 0.0000, 0.0000)  2 Mn 2.11
Si (0.5000, 0.5000, 0.5000)  4 Nb 2.99, 8 V 3.14
Nb (0.0000, 0.5000, 0.0000)  2 Mn 2.32
V (0.0000, 0.0000, 0.5000)  2 Mn 2.11
Mn (0.0000, 0.0000, 0.0000)  4 V 2.11, 2 Nb 2.32

Results
**D(E_F)**: 1.071 states/eV per atom
**DFT total energy**: -7.91 eV per atom
**E_form (uncorrected)**: 0.6749 eV/atom

***

The following is a DFT calculation (PBE-GGA) of an optimized crystal structure of MnNb12Sn6.

a = 7.1572 Å, b = 7.1572 Å, c = 7.1572 Å
α = 90.36°, β = 90.36°, γ = 90.36°
Closest atoms and distances in Å follow each position.
Atoms (fractional coordinates):
Nb (0.1397, 0.3735, 0.0610)  4 Nb 2.84-2.96, 1 Mn 2.88, 5 Sn 2.98-3.12
Nb (0.0610, 0.1397, 0.3735)  4 Nb 2.84-2.96, 1 Mn 2.88, 5 Sn 2.98-3.12
Sn (0.7405, 0.2712, 0.1225)  1 Mn 2.83, 9 Nb 2.86-3.12, 2 Sn 2.99
Nb (0.4329, 0.8083, 0.5167)  4 Sn 2.86-3.00, 4 Nb 2.91-2.96
Nb (0.8603, 0.6265, 0.9390)  4 Nb 2.84-2.96, 1 Mn 2.88, 5 Sn 2.98-3.12
Nb (0.4833, 0.5671, 0.1917)  4 Sn 2.86-3.00, 4 Nb 2.91-2.96
Nb (0.5671, 0.1917, 0.4833)  4 Sn 2.86-3.00, 4 Nb 2.91-2.96
Nb (0.5167, 0.4329, 0.8083)  4 Sn 2.86-3.00, 4 Nb 2.91-2.96
Sn (0.2595, 0.7288, 0.8775)  1 Mn 2.83, 9 Nb 2.86-3.12, 2 Sn 2.99
Nb (0.9390, 0.8603, 0.6265)  4 Nb 2.84-2.96, 1 Mn 2.88, 5 Sn 2.98-3.12
Nb (0.3735, 0.0610, 0.1397)  4 Nb 2.84-2.96, 1 Mn 2.88, 5 Sn 2.98-3.12
Mn (0.0000, 0.0000, 0.0000)  6 Sn 2.83, 6 Nb 2.88
Sn (0.1225, 0.7405, 0.2712)  1 Mn 2.83, 9 Nb 2.86-3.12, 2 Sn 2.99
Nb (0.8083, 0.5167, 0.4329)  4 Sn 2.86-3.00, 4 Nb 2.91-2.96
Sn (0.2712, 0.1225, 0.7405)  1 Mn 2.83, 9 Nb 2.86-3.12, 2 Sn 2.99
Sn (0.8775, 0.2595, 0.7288)  1 Mn 2.83, 9 Nb 2.86-3.12, 2 Sn 2.99
Nb (0.1917, 0.4833, 0.5671)  4 Sn 2.86-3.00, 4 Nb 2.91-2.96
Sn (0.7288, 0.8775, 0.2595)  1 Mn 2.83, 9 Nb 2.86-3.12, 2 Sn 2.99
Nb (0.6265, 0.9390, 0.8603)  4 Nb 2.84-2.96, 1 Mn 2.88, 5 Sn 2.98-3.12

Results
**D(E_F)**: 0.847 states/eV per atom
**Energy of formation**: 34.0 meV/atom
**DFT total energy**: -8.07 eV per atom

***

The following is a DFT calculation (PBE-GGA) of an optimized crystal structure of MnNb8Sn2.

a = 4.7175 Å, b = 5.7335 Å, c = 8.7838 Å
α = 113.83°, β = 105.58°, γ = 90.00°
Closest atoms and distances in Å follow each position.
Atoms (fractional coordinates):
Nb (0.0101, 0.7641, 0.0201)  2 Mn 2.76, 4 Nb 2.84-2.90, 1 Sn 2.84
Nb (0.9899, 0.2359, 0.9799)  2 Mn 2.76, 4 Nb 2.84-2.90, 1 Sn 2.84
Nb (0.7781, 0.6759, 0.5562)  4 Sn 2.84-3.08, 5 Nb 2.95-2.99
Nb (0.6379, 0.9982, 0.2758)  1 Mn 2.34
Nb (0.2219, 0.3241, 0.4438)  4 Sn 2.84-3.08, 5 Nb 2.95-2.99
Sn (0.8249, 0.2553, 0.6498)  10 Nb 2.84-3.08
Nb (0.3621, 0.0018, 0.7242)  1 Mn 2.34
Mn (0.5000, 0.0000, 0.0000)  4 Nb 2.34-2.40
Sn (0.1751, 0.7447, 0.3502)  10 Nb 2.84-3.08
Nb (0.4141, 0.5446, 0.8282)  1 Mn 2.40
Nb (0.5859, 0.4554, 0.1718)  1 Mn 2.40

Results
**D(E_F)**: 0.965 states/eV per atom
**Energy of formation**: 114.6 meV/atom
**DFT total energy**: -8.77 eV per atom

***

The following is a DFT calculation (PBE-GGA) of an optimized crystal structure of MnNb6Sn.

a = 7.4072 Å, b = 7.4035 Å, c = 5.2369 Å
α = 44.98°, β = 44.97°, γ = 59.96°
Closest atoms and distances in Å follow each position.
Atoms (fractional coordinates):
Nb (0.5001, 0.7585, 0.7404)  2 Nb 2.53-2.71
Mn (0.0000, 0.0000, 0.0000)  12 Nb 2.90-2.91
Nb (0.7587, 0.0001, 0.7405)  2 Nb 2.53-2.71
Nb (0.2413, 0.9999, 0.2595)  2 Nb 2.53-2.71
Nb (0.4999, 0.2415, 0.2596)  2 Nb 2.53-2.71
Nb (0.9997, 0.5000, 0.2589)  2 Nb 2.53-2.71
Nb (0.0003, 0.5000, 0.7411)  2 Nb 2.53-2.71
Sn (0.5000, 0.5000, 0.5000)  12 Nb 2.94-2.95

Results
**D(E_F)**: 0.862 states/eV per atom
**Energy of formation**: -74.5 meV/atom
**DFT total energy**: -9.27 eV per atom

***

The following is a DFT calculation (PBE-GGA) of an optimized crystal structure of MnNb2Sn2.

a = 7.1429 Å, b = 7.1429 Å, c = 3.8622 Å
α = 90.00°, β = 90.00°, γ = 90.00°
Closest atoms and distances in Å follow each position.
Atoms (fractional coordinates):
Nb (0.1618, 0.6618, 0.5000)  6 Sn 2.76-2.91
Mn (0.0000, 0.0000, 0.0000)  4 Sn 2.75
Mn (0.5000, 0.5000, 0.0000)  4 Sn 2.75
Sn (0.1425, 0.3575, 0.0000)  2 Mn 2.75, 6 Nb 2.76-2.91, 1 Sn 2.88
Sn (0.6425, 0.1425, 0.0000)  2 Mn 2.75, 6 Nb 2.76-2.91, 1 Sn 2.88
Nb (0.3382, 0.1618, 0.5000)  6 Sn 2.76-2.91
Sn (0.8575, 0.6425, 0.0000)  2 Mn 2.75, 6 Nb 2.76-2.91, 1 Sn 2.88
Nb (0.6618, 0.8382, 0.5000)  6 Sn 2.76-2.91
Nb (0.8382, 0.3382, 0.5000)  6 Sn 2.76-2.91
Sn (0.3575, 0.8575, 0.0000)  2 Mn 2.75, 6 Nb 2.76-2.91, 1 Sn 2.88

Results
**D(E_F)**: 0.550 states/eV per atom
**Energy of formation**: 173.3 meV/atom
**DFT total energy**: -7.29 eV per atom